Below is a geometry-optimized CaTlAuBr2 structure, with properties calculated at the PBE level.

Unit cell a=5.4996 b=5.4996 c=5.5571 alpha=90.00 beta=90.00 gamma=90.00
Fractional positions:
Ca (0.0000, 0.0000, 0.0000)
Tl (0.5000, 0.5000, 0.0000)
Au (0.5000, 0.5000, 0.5000)
Br (0.0000, 0.5000, 0.5000)
Br (0.5000, 0.0000, 0.5000)

Values from the calculation:
The calculation puts the total magnetization at 0.00 μB per cell. The value obtained for the formation energy (no corrections) is -268 meV/atom. For the calculated total energy, the calculation gives -2.47 eV/atom.